[1]
Ta2CuHIr: relaxed, PBE.

abc: 4.0394 4.0394 3.9661
angles: 90.00 90.00 90.00
Space group P4/mmm (No. 123)
Unique sites:
Ta: 0.0000 0.5000 0.0000 x2
Cu: 0.0000 0.0000 0.5000 x1
H: 0.0000 0.0000 0.0000 x1
Ir: 0.5000 0.5000 0.5000 x1


[2]
Er2LuFe: relaxed, PBE.

Results
Its formation energy is 7.8 kJ/mol of atoms.

abc: 3.3227 3.3227 8.7876
angles: 90.00 90.00 90.00
Space group P4/mmm (No. 123)
Unique sites:
Er: 0.0000 0.0000 0.1818 x2
Lu: 0.5000 0.5000 0.5000 x1
Fe: 0.5000 0.5000 0.0000 x1


[3]
InTeRu2: relaxed, PBE.

abc: 3.2798 3.2798 6.4711
angles: 90.00 90.00 90.00
Space group P4/mmm (No. 123)
Unique sites:
In: 0.0000 0.0000 0.0000 x1
Te: 0.0000 0.0000 0.5000 x1
Ru: 0.5000 0.5000 0.2576 x2


[4]
BeTl4W: relaxed, PBE.

Results
Its formation energy is 148.7 kJ/mol of atoms.

abc: 8.4118 8.4118 8.4118
angles: 90.00 90.00 90.00
Space group F-43m (No. 216)
Unique sites:
Be: 0.0000 0.0000 0.0000 x4
Tl: 0.1250 0.1250 0.6250 x16
W: 0.2500 0.2500 0.2500 x4


[5]
Na6SrLi2: relaxed, PBE.

Results
Its formation energy is 4.1 kJ/mol of atoms.

abc: 5.0088 5.0088 12.6680
angles: 90.00 90.00 90.00
Space group P4/mmm (No. 123)
Unique sites:
Na: 0.0000 0.0000 0.0000 x1
Na: 0.0000 0.5000 0.2228 x4
Na: 0.5000 0.5000 0.0000 x1
Sr: 0.0000 0.0000 0.5000 x1
Li: 0.5000 0.5000 0.3888 x2


[6]
Sm8Cd3In2: relaxed, PBE.

Results
Its formation energy is -16.8 kJ/mol of atoms.

abc: 18.1736 8.2063 5.2489
angles: 90.00 94.06 90.00
Space group C2/m (No. 12)
Unique sites:
Sm: 0.0520 0.0000 0.2441 x4
Sm: 0.1486 0.2151 0.7301 x8
Sm: 0.1704 0.5000 0.2208 x4
Cd: 0.0000 0.3284 0.0000 x4
Cd: 0.0000 0.5000 0.5000 x2
In: 0.2240 0.0000 0.2514 x4


[7]
MgCd4Pt5: relaxed, PBE.

Results
Its formation energy is -41.8 kJ/mol of atoms.

abc: 3.0093 3.0093 19.0065
angles: 90.00 90.00 90.00
Space group P4/mmm (No. 123)
Unique sites:
Mg: 0.0000 0.0000 0.0000 x1
Cd: 0.0000 0.0000 0.1947 x2
Cd: 0.0000 0.0000 0.3980 x2
Pt: 0.5000 0.5000 0.0913 x2
Pt: 0.5000 0.5000 0.2961 x2
Pt: 0.5000 0.5000 0.5000 x1


[8]
Nd4Zn3Hg: relaxed, PBE.

Results
Its formation energy is -33.1 kJ/mol of atoms.

abc: 3.7312 5.2575 10.5697
angles: 90.00 90.00 90.00
Space group Pmmm (No. 47)
Unique sites:
Nd: 0.0000 0.0000 0.0000 x1
Nd: 0.0000 0.0000 0.5000 x1
Nd: 0.0000 0.5000 0.2402 x2
Zn: 0.5000 0.0000 0.2444 x2
Zn: 0.5000 0.5000 0.0000 x1
Hg: 0.5000 0.5000 0.5000 x1


Across the entries above, final energy takes the values -40.89; -21.79; -23.76; -67.58; -13.05; -96.48; -39.79; -25.94 eV per cell, respectively.
Across the entries above, theoretical density takes the values 15.875; 9.676; 10.605; 11.275; 1.251; 7.527; 13.983; 7.799 g cm⁻³, respectively.